First-principles (PBE with a Hubbard U) data for crystalline LiInNi2O4 at its relaxed geometry, as listed in the Alexandria database.

Cell and atoms, written as POSCAR:
```
LiInNi2O4
1.0
3.108 0.000 0.000
0.000 5.216 0.132
0.000 -1.751 4.969
Ni O In Li
2 4 1 1
Direct
0.500 0.000 0.500 Ni
0.000 0.500 0.500 Ni
0.500 0.739 0.733 O
0.000 0.242 0.741 O
0.000 0.758 0.259 O
0.500 0.261 0.267 O
0.500 0.500 0.000 In
0.000 0.000 0.000 Li
```

Results
Its space-group type is P2/m. The crystal system is monoclinic. The calculated total energy is -5.07 eV/atom.